Sm2ReN5 | PBE | relaxed

Cell: 3.9557 6.4590 11.0222 Å, 90.00 90.00 107.83°
With the nearest neighbours (Å) after each atom.
Fractional coordinates of all 16 atoms:
Sm1 0.8547 0.7095 0.4351  5 N 2.28-2.45
Sm2 0.8547 0.7095 0.0649  5 N 2.28-2.45
Sm3 0.1453 0.2905 0.5649  5 N 2.28-2.45
Sm4 0.1453 0.2905 0.9351  5 N 2.28-2.45
Re1 0.8599 0.7197 0.7500  4 N 1.81-2.02
Re2 0.1401 0.2803 0.2500  4 N 1.81-2.02
N1 0.9543 0.9085 0.8754  1 Re 1.81
N2 0.9543 0.9085 0.6246  1 Re 1.81
N3 0.2714 0.5427 0.3928  1 Re 2.25, 3 Sm 2.28-2.45
N4 0.2714 0.5427 0.1072  1 Re 2.25, 3 Sm 2.28-2.45
N5 0.6735 0.3469 0.2500  2 Re 2.02
N6 0.3265 0.6531 0.7500  2 Re 2.02
N7 0.7286 0.4573 0.6072  1 Re 2.25, 3 Sm 2.28-2.45
N8 0.7286 0.4573 0.8928  1 Re 2.25, 3 Sm 2.28-2.45
N9 0.0457 0.0915 0.1246  1 Re 1.81
N10 0.0457 0.0915 0.3754  1 Re 1.81

Summary:
The value obtained for the energy is -8.187 eV/atom. The density of states at the Fermi level is 10.20 states/eV/cell. As for the space group: Cmcm.